The following is a PBE calculation of a relaxed Nb14PdRh crystal, from Alexandria.

a = 5.744 Å, b = 5.744 Å, c = 9.164 Å
α = 90.00°, β = 90.00°, γ = 109.41°
Positions (direct):
Nb (0.000, 0.000, 0.000)
Nb (0.000, 0.500, 0.000)
Nb (0.000, 0.500, 0.500)
Nb (0.249, 0.751, 0.255)
Nb (0.249, 0.751, 0.745)
Nb (0.254, 0.254, 0.254)
Nb (0.254, 0.254, 0.746)
Nb (0.500, 0.000, 0.000)
Nb (0.500, 0.000, 0.500)
Nb (0.500, 0.500, 0.000)
Nb (0.746, 0.746, 0.254)
Nb (0.746, 0.746, 0.746)
Nb (0.751, 0.249, 0.255)
Nb (0.751, 0.249, 0.745)
Pd (0.000, 0.000, 0.500)
Rh (0.500, 0.500, 0.500)

E_tot (eV/cell): -155.4
Symmetry: Cmmm, No. 65

=====

The following is a PBE calculation of a relaxed Nb2PdRh6 crystal, from Alexandria.

a = 7.522 Å, b = 7.522 Å, c = 2.805 Å
α = 90.00°, β = 90.00°, γ = 120.00°
Positions (direct):
Nb (0.333, 0.667, 0.000)
Nb (0.667, 0.333, 0.000)
Pd (0.000, 0.000, 0.500)
Rh (0.000, 0.309, 0.000)
Rh (0.000, 0.630, 0.500)
Rh (0.309, 0.000, 0.000)
Rh (0.370, 0.370, 0.500)
Rh (0.630, 0.000, 0.500)
Rh (0.691, 0.691, 0.000)

E_tot (eV/cell): -71.6
Symmetry: P-62m, No. 189

=====

The following is a PBE calculation of a relaxed Nb3PdRh5 crystal, from Alexandria.

a = 7.715 Å, b = 7.715 Å, c = 5.481 Å
α = 90.00°, β = 90.00°, γ = 120.00°
Positions (direct):
Nb (0.000, 0.339, 0.250)
Nb (0.000, 0.661, 0.750)
Nb (0.339, 0.000, 0.250)
Nb (0.339, 0.339, 0.750)
Nb (0.661, 0.000, 0.750)
Nb (0.661, 0.661, 0.250)
Pd (0.000, 0.000, 0.000)
Pd (0.000, 0.000, 0.500)
Rh (0.000, 0.331, 0.750)
Rh (0.000, 0.669, 0.250)
Rh (0.331, 0.000, 0.750)
Rh (0.331, 0.331, 0.250)
Rh (0.333, 0.667, 0.000)
Rh (0.333, 0.667, 0.500)
Rh (0.667, 0.333, 0.000)
Rh (0.667, 0.333, 0.500)
Rh (0.669, 0.000, 0.250)
Rh (0.669, 0.669, 0.750)

E_tot (eV/cell): -151.7
Symmetry: P6_3/mcm, No. 193

=====

The following is a PBE calculation of a relaxed NbPdRh2 crystal, from Alexandria.

a = 4.438 Å, b = 4.438 Å, c = 4.438 Å
α = 60.00°, β = 60.00°, γ = 60.00°
Positions (direct):
Nb (0.000, 0.000, 0.000)
Pd (0.500, 0.500, 0.500)
Rh (0.250, 0.250, 0.250)
Rh (0.750, 0.750, 0.750)

E_tot (eV/cell): -31.0
Symmetry: Fm-3m, No. 225

=====

The following is a PBE calculation of a relaxed Nb2PdRh2 crystal, from Alexandria.

a = 7.362 Å, b = 7.362 Å, c = 3.056 Å
α = 90.00°, β = 90.00°, γ = 90.00°
Positions (direct):
Nb (0.170, 0.330, 0.000)
Nb (0.330, 0.830, 0.000)
Nb (0.670, 0.170, 0.000)
Nb (0.830, 0.670, 0.000)
Pd (0.000, 0.000, 0.500)
Pd (0.500, 0.500, 0.500)
Rh (0.133, 0.633, 0.500)
Rh (0.367, 0.133, 0.500)
Rh (0.633, 0.867, 0.500)
Rh (0.867, 0.367, 0.500)

E_tot (eV/cell): -83.4
Symmetry: P4/mbm, No. 127

=====

The following is a PBE calculation of a relaxed Nb4PdRh7 crystal, from Alexandria.

a = 5.791 Å, b = 5.791 Å, c = 9.351 Å
α = 116.47°, β = 116.47°, γ = 48.14°
Positions (direct):
Nb (0.088, 0.088, 0.275)
Nb (0.244, 0.244, 0.829)
Nb (0.756, 0.756, 0.171)
Nb (0.912, 0.912, 0.725)
Pd (0.500, 0.500, 0.500)
Rh (0.000, 0.000, 0.500)
Rh (0.139, 0.139, 0.041)
Rh (0.289, 0.289, 0.592)
Rh (0.427, 0.427, 0.162)
Rh (0.573, 0.573, 0.838)
Rh (0.711, 0.711, 0.408)
Rh (0.861, 0.861, 0.959)

E_tot (eV/cell): -97.2
Symmetry: C2/m, No. 12

=====

The following is a PBE calculation of a relaxed Nb2PdRh7 crystal, from Alexandria.

a = 8.625 Å, b = 8.625 Å, c = 2.765 Å
α = 90.00°, β = 90.00°, γ = 123.67°
Positions (direct):
Nb (0.178, 0.822, 0.000)
Nb (0.822, 0.178, 0.000)
Pd (0.500, 0.500, 0.500)
Rh (0.000, 0.000, 0.000)
Rh (0.169, 0.363, 0.000)
Rh (0.322, 0.678, 0.500)
Rh (0.363, 0.169, 0.000)
Rh (0.637, 0.831, 0.000)
Rh (0.678, 0.322, 0.500)
Rh (0.831, 0.637, 0.000)

E_tot (eV/cell): -74.1
Symmetry: Cmmm, No. 65

=====

The following is a PBE calculation of a relaxed NbPdRh3 crystal, from Alexandria.

a = 4.645 Å, b = 4.645 Å, c = 4.645 Å
α = 90.00°, β = 90.00°, γ = 90.00°
Positions (direct):
Nb (0.000, 0.000, 0.000)
Pd (0.500, 0.500, 0.500)
Rh (0.000, 0.500, 0.500)
Rh (0.500, 0.000, 0.500)
Rh (0.500, 0.500, 0.000)

E_tot (eV/cell): -29.5
Symmetry: Pm-3m, No. 221

=====

The following is a PBE calculation of a relaxed NbPd2Rh2 crystal, from Alexandria.

a = 10.046 Å, b = 10.046 Å, c = 3.935 Å
α = 90.00°, β = 90.00°, γ = 157.42°
Positions (direct):
Nb (0.155, 0.845, 0.750)
Nb (0.845, 0.155, 0.250)
Pd (0.053, 0.947, 0.250)
Pd (0.449, 0.551, 0.250)
Pd (0.551, 0.449, 0.750)
Pd (0.947, 0.053, 0.750)
Rh (0.250, 0.750, 0.250)
Rh (0.352, 0.648, 0.750)
Rh (0.648, 0.352, 0.250)
Rh (0.750, 0.250, 0.750)

E_tot (eV/cell): -74.1
Symmetry: Cmcm, No. 63

=====

The following is a PBE calculation of a relaxed Nb3PdRh crystal, from Alexandria.

a = 4.782 Å, b = 4.782 Å, c = 4.782 Å
α = 90.00°, β = 90.00°, γ = 90.00°
Positions (direct):
Nb (0.000, 0.000, 0.500)
Nb (0.000, 0.500, 0.000)
Nb (0.500, 0.000, 0.000)
Pd (0.500, 0.500, 0.500)
Rh (0.000, 0.000, 0.000)

E_tot (eV/cell): -37.7
Symmetry: Pm-3m, No. 221